VASP calculation (PBE) on a relaxed structure of CuTc2Bi.

Computed properties:
The density of states at the Fermi level comes out at 0.846 states/eV/atom. The calculation puts the formation enthalpy at 0 K at 235.6 kJ/mol of formula units. The theoretical density comes out at 10.487 g/cm3.

abc: 3.9548 3.9548 18.9736
angles: 90.00 90.00 90.00
Space group I-42d (No. 122)
Inequivalent atoms, fractional coordinates:
Cu  0.0000  0.0000  0.0000 [4 per cell]
Tc  0.1686  0.2500  0.1250 [8 per cell]
Bi  0.0000  0.0000  0.5000 [4 per cell]

***

VASP calculation (PBE) on a relaxed structure of CuTc3Bi.

Computed properties:
The value obtained for the distance to the lowest polymorph of the same formula is 0.000 eV per atom. The density of states at the Fermi level comes out at 1.355 states/eV/atom. The calculation puts the formation enthalpy at 0 K at 705.2 kJ/mol of formula units. The theoretical density comes out at 9.902 g/cm3.

abc: 4.5630 4.5630 4.5630
angles: 90.00 90.00 90.00
Space group Pm-3m (No. 221)
Inequivalent atoms, fractional coordinates:
Cu  0.0000  0.0000  0.0000 [1 per cell]
Tc  0.0000  0.0000  0.5000 [3 per cell]
Bi  0.5000  0.5000  0.5000 [1 per cell]

***

VASP calculation (PBE) on a relaxed structure of CuTcBi2.

Computed properties:
The value obtained for the distance to the lowest polymorph of the same formula is 0.000 eV per atom. The density of states at the Fermi level comes out at 0.972 states/eV/atom. The calculation puts the formation enthalpy at 0 K at 228.7 kJ/mol of formula units. The theoretical density comes out at 11.662 g/cm3.

abc: 6.9109 6.9109 6.9109
angles: 90.00 90.00 90.00
Space group Fm-3m (No. 225)
Inequivalent atoms, fractional coordinates:
Cu  0.0000  0.0000  0.0000 [4 per cell]
Tc  0.0000  0.0000  0.5000 [4 per cell]
Bi  0.2500  0.2500  0.2500 [8 per cell]